An optimized crystal structure of RbZrPdO4. Source: Alexandria via LeMat-Bulk, functional PBE.

As for the crystal system: orthorhombic. The value obtained for the formation energy (no corrections) is -11.73 eV/f.u. The calculation puts the theoretical density at 5.02 Mg/m³. Its volume is 460 Å³/cell.

The space group is Imma (No. 74) and the conventional cell measures 6.535, 6.624 and 10.620 Å, with angles of 90.00, 90.00 and 90.00 degrees. Symmetry generates all atoms from Rb at (0.000, 0.250, 0.148), Zr at (0.000, 0.000, 0.500), Pd at (0.250, 0.250, 0.750), O at (0.000, 0.061, 0.705) and O at (0.202, 0.250, 0.503).